# 1
The following is a DFT calculation (PBE) of a geometry-optimized Mg2Al2CdPt5 structure.

It has space group P4/mbm (No. 127), with a = 9.4699 Å, b = 9.4699 Å, c = 3.7412 Å, α = 90.00°, β = 90.00° and γ = 90.00°. The inequivalent atoms are Mg at (0.1732, 0.3268, 0.0000), Al at (0.1250, 0.6250, 0.0000), Cd at (0.0000, 0.0000, 0.0000), Pt at (0.0000, 0.5000, 0.5000) and Pt at (0.0757, 0.7940, 0.5000).

For the energy of formation from the pure elements, the calculation gives -719 meV/atom.



# 2
The following is a DFT calculation (PBE) of a geometry-optimized TiMoAsBr2 structure.

It has space group P4/mmm (No. 123), with a = 4.9577 Å, b = 4.9577 Å, c = 5.2187 Å, α = 90.00°, β = 90.00° and γ = 90.00°. The inequivalent atoms are Ti at (0.0000, 0.0000, 0.0000), Mo at (0.5000, 0.5000, 0.5000), As at (0.0000, 0.0000, 0.5000) and Br at (0.0000, 0.5000, 0.0000).

The formation energy from raw total energies is 467 meV/atom.



# 3
The following is a DFT calculation (PBE) of a geometry-optimized FeCo structure.

It has space group Pm (No. 6), with a = 4.7015 Å, b = 4.0085 Å, c = 4.9384 Å, α = 90.00°, β = 100.04° and γ = 90.00°. The inequivalent atoms are Fe at (0.0000, 0.0000, 0.0000), Fe at (0.0033, 0.0000, 0.4988), Fe at (0.5002, 0.0000, 0.2463), Fe at (0.7456, 0.5000, 0.6251), Co at (0.2395, 0.5000, 0.8750), Co at (0.2529, 0.5000, 0.3773), Co at (0.5019, 0.0000, 0.7476) and Co at (0.7460, 0.5000, 0.1240).

For the energy of formation from the pure elements, the calculation gives -22 meV/atom.



It is found that the total magnetization values, taken in the order of the records, are 0.00; 4.93; 4.41 μB per formula unit.
It is found that the calculated density values, taken in the order of the records, are 11.78; 4.90; 8.32 g/cm³.